# HfCo3Ag

A geometry-optimized HfCo3Ag structure (GGA-PBE, Alexandria).

Lattice parameters (Å, degrees): 4.5407 4.5407 4.5407 90.00 90.00 90.00
Element x y z (fractional)
Hf 0.0000 0.0000 0.0000
Co 0.0000 0.5000 0.5000
Co 0.5000 0.0000 0.5000
Co 0.5000 0.5000 0.0000
Ag 0.5000 0.5000 0.5000

Computed properties:
DFT formation energy in eV per formula unit: 7.2
Calculated density in g cm⁻³: 8.215
Space-group type: Pm-3m